Computed, not measured: Nd6TlGe2I3 after structural relaxation at the GGA-PBE level of DFT.

Unit cell a=19.923 b=4.378 c=9.285 alpha=90.00 beta=105.40 gamma=90.00
Space group C2/m (No. 12)
One atom of each set of equivalent atoms:
Nd 0.014 0.000 0.245 (multiplicity 4)
Nd 0.163 0.500 0.125 (multiplicity 4)
Nd 0.179 0.500 0.561 (multiplicity 4)
Tl 0.000 0.500 0.000 (multiplicity 2)
Ge 0.168 0.000 0.340 (multiplicity 4)
I 0.000 0.500 0.500 (multiplicity 2)
I 0.166 0.000 0.835 (multiplicity 4)

## Properties
VASP energy in eV per atom: -4.6197